Entry 1:
Material: Co2CuS6
Method: DFT, PBE
State: relaxed

Unit cell a=5.5592 b=5.5643 c=16.7014 alpha=89.88 beta=89.91 gamma=89.91
Closest atoms and distances in Å follow each position.
Atoms (fractional coordinates):
Co 0.0000 0.0000 0.0000  6 S 2.27-2.37
Co 0.0000 0.0073 0.6700  6 S 2.28-2.34
Co 0.4951 0.5047 0.3345  6 S 2.23-2.33
Co 0.4986 0.0072 0.8342  6 S 2.28-2.34
Co 0.4986 0.5066 0.6689  6 S 2.28-2.34
Co 0.5002 0.0053 0.5058  6 S 2.25-2.34
Co 0.5014 0.5105 0.0020  6 S 2.27-2.35
Co 0.9977 0.5049 0.1663  6 S 2.25-2.32
Cu 0.4973 0.0067 0.1683  6 S 2.38-2.44
Cu 0.9972 0.0061 0.3358  6 S 2.39-2.42
Cu 0.9969 0.5063 0.5011  6 S 2.38-2.45
Cu 0.9994 0.5051 0.8362  6 S 2.40-2.44
S 0.0963 0.1255 0.2001  1 S 2.07, 1 Co 2.25
S 0.1098 0.3955 0.0384  1 S 2.13, 3 Co 2.31-2.37
S 0.1112 0.1018 0.5420  1 S 2.08, 2 Co 2.29-2.31
S 0.1124 0.1035 0.8739  1 S 2.11, 2 Co 2.27-2.31
S 0.1148 0.3911 0.7014  1 S 2.10, 2 Co 2.29
S 0.1182 0.4088 0.3680  1 S 2.09, 1 Co 2.23
S 0.3804 0.8905 0.0332  1 S 2.13, 2 Co 2.27-2.28
S 0.3826 0.6048 0.2071  1 S 2.12, 2 Co 2.29-2.32
S 0.3838 0.8937 0.7070  1 S 2.18, 3 Co 2.31-2.34
S 0.4005 0.8912 0.3755  1 S 2.08, 1 Co 2.32
S 0.4019 0.6230 0.5418  1 S 2.12, 2 Co 2.28
S 0.4027 0.6217 0.8733  1 S 2.11, 2 Co 2.30
S 0.5936 0.3897 0.4643  1 S 2.12, 2 Co 2.31-2.32
S 0.5944 0.3900 0.7964  1 S 2.11, 2 Co 2.28-2.29
S 0.5967 0.1247 0.3028  1 S 2.08, 1 Co 2.25
S 0.6089 0.1180 0.9642  1 S 2.13, 3 Co 2.34-2.35
S 0.6107 0.1205 0.6317  1 S 2.18, 3 Co 2.28-2.34
S 0.6149 0.4120 0.1293  1 S 2.12, 2 Co 2.28
S 0.8781 0.9065 0.4700  1 S 2.08, 1 Co 2.25
S 0.8816 0.6215 0.9687  1 S 2.13, 2 Co 2.27
S 0.8819 0.9112 0.7967  1 S 2.11, 2 Co 2.28
S 0.8835 0.6218 0.6377  1 S 2.10, 2 Co 2.29-2.31
S 0.8843 0.6042 0.2948  1 S 2.09, 2 Co 2.30-2.33
S 0.8998 0.8941 0.1283  1 S 2.07, 2 Co 2.29-2.32

Entry 2:
Material: Co2CuS6
Method: DFT, PBE
State: relaxed

Unit cell a=5.5983 b=16.6700 c=5.5521 alpha=90.00 beta=90.45 gamma=90.00
Closest atoms and distances in Å follow each position.
Atoms (fractional coordinates):
Co 0.0000 0.0812 0.0000  6 S 2.27-2.36
Co 0.0000 0.9188 0.5000  6 S 2.27-2.36
Co 0.4985 0.2478 0.0031  6 S 2.26-2.33
Co 0.4985 0.7522 0.5031  6 S 2.26-2.33
Co 0.5012 0.4163 0.5037  6 S 2.28-2.30
Co 0.5012 0.5837 0.0037  6 S 2.28-2.30
Co 0.5039 0.0817 0.5041  6 S 2.28-2.36
Co 0.5039 0.9183 0.0041  6 S 2.28-2.36
Cu 0.0018 0.2479 0.5032  6 S 2.38-2.45
Cu 0.0018 0.7521 0.0032  6 S 2.38-2.45
Cu 0.9990 0.4151 0.0041  6 S 2.36-2.47
Cu 0.9990 0.5849 0.5041  6 S 2.36-2.47
S 0.1106 0.0460 0.3921  1 S 2.13, 3 Co 2.29-2.36
S 0.1106 0.9540 0.8921  1 S 2.13, 3 Co 2.29-2.36
S 0.1180 0.3832 0.4023  1 S 2.06, 1 Co 2.28
S 0.1180 0.6168 0.9023  1 S 2.06, 1 Co 2.28
S 0.1195 0.2814 0.9033  1 S 2.08, 1 Co 2.26
S 0.1195 0.7186 0.4033  1 S 2.08, 1 Co 2.26
S 0.3886 0.1197 0.8914  1 S 2.15, 3 Co 2.31-2.35
S 0.3886 0.8803 0.3914  1 S 2.15, 3 Co 2.31-2.35
S 0.4065 0.2096 0.3863  1 S 2.12, 2 Co 2.28-2.29
S 0.4061 0.4552 0.8854  1 S 2.14, 2 Co 2.28-2.30
S 0.4061 0.5448 0.3854  1 S 2.14, 2 Co 2.28-2.30
S 0.4065 0.7904 0.8863  1 S 2.12, 2 Co 2.28-2.29
S 0.5960 0.3761 0.1212  1 S 2.14, 2 Co 2.29-2.30
S 0.5960 0.6239 0.6212  1 S 2.14, 2 Co 2.29-2.30
S 0.5972 0.2878 0.6199  1 S 2.12, 2 Co 2.30
S 0.5972 0.7122 0.1199  1 S 2.12, 2 Co 2.30
S 0.6103 0.0452 0.1158  1 S 2.15, 3 Co 2.28-2.36
S 0.6103 0.9548 0.6158  1 S 2.15, 3 Co 2.28-2.36
S 0.8829 0.4497 0.6057  1 S 2.06, 1 Co 2.28
S 0.8829 0.5503 0.1057  1 S 2.06, 1 Co 2.28
S 0.8847 0.1145 0.6197  1 S 2.13, 2 Co 2.27-2.29
S 0.8847 0.8855 0.1197  1 S 2.13, 2 Co 2.27-2.29
S 0.8875 0.2098 0.1009  1 S 2.08, 2 Co 2.30-2.33
S 0.8875 0.7902 0.6009  1 S 2.08, 2 Co 2.30-2.33

Entry 3:
Material: Co2CuS6
Method: DFT, PBE
State: relaxed

Unit cell a=5.5332 b=7.9172 c=12.4695 alpha=71.59 beta=89.99 gamma=89.99
Closest atoms and distances in Å follow each position.
Atoms (fractional coordinates):
Co 0.0000 0.0000 0.0000  6 S 2.27-2.33
Co 0.9995 0.3407 0.3245  6 S 2.26-2.38
Co 0.0051 0.4937 0.9997  6 S 2.27-2.38
Co 0.4943 0.3262 0.8378  6 S 2.25-2.39
Co 0.4955 0.6638 0.1604  6 S 2.25-2.37
Co 0.4981 0.4920 0.4938  6 S 2.24-2.37
Co 0.5071 0.1697 0.1623  6 S 2.26-2.35
Co 0.9944 0.1711 0.6652  6 S 2.24-2.36
Cu 0.0025 0.6631 0.6643  6 S 2.37-2.46
Cu 0.4970 0.9984 0.4961  6 S 2.35-2.47
Cu 0.5023 0.8296 0.8300  6 S 2.38-2.48
Cu 0.9984 0.8294 0.3296  6 S 2.37-2.48
S 0.0968 0.1134 0.4959  1 S 2.05
S 0.1005 0.8825 0.7581  1 S 2.08, 1 Co 2.29
S 0.1103 0.2038 0.0910  1 S 2.12, 3 Co 2.29-2.35
S 0.1143 0.5213 0.4239  1 S 2.11, 2 Co 2.26-2.28
S 0.1150 0.7770 0.1561  1 S 2.13, 2 Co 2.27-2.28
S 0.1166 0.4356 0.8400  1 S 2.14, 2 Co 2.27
S 0.3824 0.0445 0.9287  1 S 2.12, 2 Co 2.25-2.28
S 0.3856 0.6023 0.0031  1 S 2.13, 2 Co 2.25-2.28
S 0.3875 0.3716 0.2540  1 S 2.13, 3 Co 2.30-2.34
S 0.3875 0.2726 0.6654  1 S 2.09, 1 Co 2.32
S 0.3971 0.9469 0.3205  1 S 2.09, 1 Co 2.28
S 0.4010 0.6812 0.5910  1 S 2.06, 1 Co 2.27
S 0.5936 0.7193 0.3256  1 S 2.09, 1 Co 2.30
S 0.6014 0.6086 0.7382  1 S 2.06, 1 Co 2.27
S 0.6129 0.9636 0.0718  1 S 2.12, 3 Co 2.30-2.37
S 0.6138 0.3873 0.9992  1 S 2.13, 3 Co 2.29-2.32
S 0.6158 0.3094 0.3985  1 S 2.13, 2 Co 2.24-2.30
S 0.6189 0.0640 0.6654  1 S 2.09, 1 Co 2.24
S 0.8826 0.4513 0.5655  1 S 2.11, 2 Co 2.26-2.29
S 0.8845 0.1439 0.2355  1 S 2.12, 2 Co 2.26-2.27
S 0.8865 0.2213 0.8343  1 S 2.14, 3 Co 2.33-2.34
S 0.8891 0.5568 0.1605  1 S 2.13, 3 Co 2.30-2.34
S 0.8960 0.8953 0.4967  1 S 2.05
S 0.9045 0.7975 0.9076  1 S 2.08, 1 Co 2.31

Entry 4:
Material: Co2CuS6
Method: DFT, PBE
State: relaxed

Unit cell a=5.5522 b=5.5711 c=16.7487 alpha=90.00 beta=90.05 gamma=90.00
Closest atoms and distances in Å follow each position.
Atoms (fractional coordinates):
Co 0.0013 0.0000 0.2456  6 S 2.26-2.32
Co 0.0023 0.9977 0.9202  6 S 2.27-2.35
Co 0.4979 0.4977 0.5859  6 S 2.23-2.34
Co 0.4979 0.5033 0.9180  6 S 2.28-2.36
Co 0.5021 0.0033 0.0820  6 S 2.28-2.36
Co 0.5021 0.9977 0.4141  6 S 2.23-2.34
Co 0.9977 0.4977 0.0798  6 S 2.27-2.35
Co 0.9987 0.5000 0.7544  6 S 2.26-2.32
Cu 0.0006 0.5000 0.4170  6 S 2.39-2.46
Cu 0.4986 0.0013 0.7514  6 S 2.38-2.44
Cu 0.5014 0.5013 0.2486  6 S 2.38-2.44
Cu 0.9994 0.0000 0.5830  6 S 2.39-2.46
S 0.0971 0.1205 0.7204  1 S 2.08, 1 Co 2.26
S 0.0989 0.3872 0.2077  1 S 2.08, 2 Co 2.30-2.31
S 0.1124 0.3883 0.8809  1 S 2.16, 3 Co 2.30-2.35
S 0.1125 0.1113 0.0449  1 S 2.16, 3 Co 2.27-2.33
S 0.1139 0.0988 0.3750  1 S 2.09, 2 Co 2.32
S 0.1206 0.4011 0.5527  1 S 2.09, 1 Co 2.23
S 0.3830 0.8835 0.8859  1 S 2.12, 2 Co 2.28
S 0.3826 0.9055 0.2092  1 S 2.12, 2 Co 2.27-2.30
S 0.3849 0.5993 0.7133  1 S 2.12, 2 Co 2.29-2.32
S 0.3894 0.6089 0.0458  1 S 2.12, 3 Co 2.30-2.36
S 0.4002 0.6187 0.3828  1 S 2.09, 1 Co 2.25
S 0.4025 0.8856 0.5445  1 S 2.09, 2 Co 2.33-2.34
S 0.5975 0.3856 0.4555  1 S 2.09, 2 Co 2.33-2.34
S 0.5998 0.1187 0.6172  1 S 2.09, 1 Co 2.25
S 0.6106 0.1089 0.9542  1 S 2.12, 3 Co 2.30-2.36
S 0.6152 0.0993 0.2867  1 S 2.12, 2 Co 2.29-2.32
S 0.6170 0.3835 0.1141  1 S 2.12, 2 Co 2.28
S 0.6174 0.4055 0.7908  1 S 2.12, 2 Co 2.27-2.30
S 0.8794 0.9011 0.4473  1 S 2.09, 1 Co 2.23
S 0.8861 0.5988 0.6250  1 S 2.09, 2 Co 2.32
S 0.8875 0.6113 0.9551  1 S 2.16, 3 Co 2.27-2.33
S 0.8876 0.8883 0.1191  1 S 2.16, 3 Co 2.30-2.35
S 0.9011 0.8872 0.7923  1 S 2.08, 2 Co 2.30-2.31
S 0.9029 0.6205 0.2796  1 S 2.08, 1 Co 2.26

| no. | electronic total energy (eV/atom) |
| --- | --- |
| 1 | -5.001 |
| 2 | -5.002 |
| 3 | -4.999 |
| 4 | -5.001 |